Compound: PbAu2
Source: Alexandria via LeMat-Bulk
Functional: PBEsol
Structure: relaxed

Summary:
energy: -0.2847 Ry per atom
space-group type: I4_1/amd (141)
energy of formation: 76 meV per atom

Cell lengths 3.8036, 3.8036, 9.7155 Å; angles 101.29, 101.29, 90.00 degrees
Fractional coordinates of all 6 atoms:
1 Au 0.4259 0.4259 0.8517
2 Pb 0.2500 0.7500 0.5000
3 Pb 0.0000 0.0000 0.0000
4 Au 0.6759 0.1759 0.3517
5 Au 0.5741 0.5741 0.1483
6 Au 0.8241 0.3241 0.6483


Compound: Be2SiRu
Source: Alexandria via LeMat-Bulk
Functional: PBEsol
Structure: relaxed

Summary:
energy: -0.4312 Ry per atom
raw formation energy: 44 kJ/mol of formula units
space-group type: R3m (160)

Cell lengths 2.7010, 2.7010, 7.4594 Å; angles 79.57, 79.57, 60.00 degrees
Fractional coordinates of all 4 atoms:
1 Si 0.2504 0.2504 0.2489
2 Be 0.0023 0.0023 0.9931
3 Be 0.7490 0.7490 0.7529
4 Ru 0.4983 0.4983 0.5050


Compound: Sc2Ni2Pb
Source: Alexandria via LeMat-Bulk
Functional: PBEsol
Structure: relaxed

Summary:
energy: -0.4521 Ry per atom
space-group type: I4/mmm (139)
energy of formation: -247 meV per atom

Cell lengths 4.8374, 4.8374, 5.1770 Å; angles 117.85, 117.85, 90.00 degrees
Fractional coordinates of all 5 atoms:
1 Ni 0.3607 0.3607 0.7215
2 Sc 0.7500 0.2500 0.5000
3 Sc 0.2500 0.7500 0.5000
4 Ni 0.6393 0.6393 0.2785
5 Pb 0.0000 0.0000 0.0000


Compound: NaReS2N
Source: Alexandria via LeMat-Bulk
Functional: PBEsol
Structure: relaxed

Summary:
energy: -0.4861 Ry per atom
raw formation energy: -101 kJ/mol of formula units
space-group type: P4/mmm (123)

Cell lengths 3.7575, 4.7634, 4.7634 Å; angles 90.00, 90.00, 90.00 degrees
Fractional coordinates of all 5 atoms:
1 Re 0.0000 0.0000 0.0000
2 N 0.5000 0.0000 0.0000
3 S 0.0000 0.5000 0.0000
4 Na 0.5000 0.5000 0.5000
5 S 0.0000 0.0000 0.5000